1.
A geometry-optimized PtC structure, computed with GGA-PBE.

```
PtC
1.0
-4.0846 1.5816 -3.3639
5.6420 -4.4361 -8.9365
-3.9142 -7.4739 1.2389
Pt C
16 16
Direct
0.5000 0.1579 0.5000 Pt
0.2500 0.5921 0.2500 Pt
0.7500 0.0921 0.2500 Pt
0.5000 0.6579 0.0000 Pt
0.2500 0.0921 0.7500 Pt
0.2500 0.4079 0.7500 Pt
0.7500 0.9079 0.7500 Pt
0.0000 0.3421 0.5000 Pt
0.2500 0.9079 0.2500 Pt
0.5000 0.8421 0.5000 Pt
0.0000 0.6579 0.5000 Pt
0.0000 0.1579 0.0000 Pt
0.5000 0.3421 0.0000 Pt
0.7500 0.4079 0.2500 Pt
0.0000 0.8421 0.0000 Pt
0.7500 0.5921 0.7500 Pt
0.7500 0.7500 0.8883 C
0.0000 0.0000 0.8617 C
0.2500 0.7500 0.3883 C
0.0000 0.5000 0.6383 C
0.2500 0.2500 0.6117 C
0.7500 0.2500 0.1117 C
0.5000 0.5000 0.8617 C
0.7500 0.7500 0.6117 C
0.7500 0.2500 0.3883 C
0.5000 0.5000 0.1383 C
0.5000 0.0000 0.6383 C
0.2500 0.7500 0.1117 C
0.2500 0.2500 0.8883 C
0.5000 0.0000 0.3617 C
0.0000 0.0000 0.1383 C
0.0000 0.5000 0.3617 C
```

Calculated values
- SG: Fddd (70)
- E above lowest polymorph: 633 meV/atom

***

2.
A geometry-optimized PtC3 structure, computed with GGA-PBE.

```
PtC3
1.0
-2.0742 -2.7136 -2.0904
3.4278 -0.7309 1.9370
-1.7457 -0.8100 2.7837
C Pt
3 1
Direct
0.5000 0.0000 0.5000 C
0.5000 0.5000 0.0000 C
0.0000 0.5000 0.5000 C
0.0000 0.0000 0.0000 Pt
```

Calculated values
- SG: Cmmm (65)
- E above lowest polymorph: 2152 meV/atom

***

3.
A geometry-optimized Pt3C structure, computed with GGA-PBE.

```
Pt3C
1.0
-2.6298 0.2718 4.1706
-4.0061 -1.5685 -2.4239
1.1913 -4.6744 1.0558
Pt C
6 2
Direct
0.5000 0.0000 0.2500 Pt
0.2500 0.5000 0.0000 Pt
0.0000 0.7500 0.5000 Pt
0.0000 0.2500 0.5000 Pt
0.5000 0.0000 0.7500 Pt
0.7500 0.5000 0.0000 Pt
0.5000 0.5000 0.5000 C
0.0000 0.0000 0.0000 C
```

Calculated values
- SG: Pm-3n (223)

***

4.
A geometry-optimized Pt5C structure, computed with GGA-PBE.

```
Pt5C
1.0
2.5902 -4.4864 0.0000
2.5902 4.4864 0.0000
0.0000 0.0000 4.5289
Pt C
5 1
Direct
0.5000 0.5000 0.5000 Pt
0.3333 0.6667 0.0000 Pt
0.0000 0.5000 0.5000 Pt
0.5000 0.0000 0.5000 Pt
0.6667 0.3333 0.0000 Pt
0.0000 0.0000 0.0000 C
```

Calculated values
- SG: P6/mmm (191)
- E above lowest polymorph: 862 meV/atom

***

5.
A geometry-optimized Pt3C structure, computed with GGA-PBE.

```
Pt3C
1.0
3.5621 -6.1697 0.0000
3.5621 6.1697 0.0000
0.0000 0.0000 2.7567
Pt C
6 2
Direct
0.7996 0.5992 0.2500 Pt
0.2004 0.4008 0.7500 Pt
0.7996 0.2004 0.2500 Pt
0.2004 0.7996 0.7500 Pt
0.5992 0.7996 0.7500 Pt
0.4008 0.2004 0.2500 Pt
0.6667 0.3333 0.7500 C
0.3333 0.6667 0.2500 C
```

Calculated values
- SG: P6_3/mmc (194)

***

6.
A geometry-optimized PtC structure, computed with GGA-PBE.

```
PtC
1.0
-1.1382 -1.8072 2.4416
2.3638 -1.1474 -1.9022
3.9901 2.3063 3.5672
C Pt
2 2
Direct
0.6667 0.3333 0.8587 C
0.3333 0.6667 0.3587 C
0.6667 0.3333 0.2233 Pt
0.3333 0.6667 0.7233 Pt
```

Calculated values
- SG: P6_3mc (186)
- E above lowest polymorph: 546 meV/atom

***

| no. | formation energy (kcal/mol of atoms) | E (eV per atom) |
| --- | --- | --- |
| 1 | 23.76 | -6.602 |
| 2 | 65.84 | -5.573 |
| 3 | 39.19 | -5.137 |
| 4 | 29.65 | -5.286 |
| 5 | 13.98 | -6.230 |
| 6 | 21.75 | -6.689 |